First-principles (GGA-PBE) data for an optimized crystal structure of Nd4HoTe7, as listed in Alexandria via LeMat-Bulk.

a = 7.637 Å, b = 7.637 Å, c = 13.425 Å
α = 103.98°, β = 103.98°, γ = 33.04°
Sites, in units of the cell vectors:
Nd: 0.000 0.000 0.000
Nd: 0.186 0.186 0.765
Nd: 0.586 0.586 0.382
Nd: 0.886 0.886 0.571
Ho: 0.771 0.771 0.149
Te: 0.151 0.151 0.223
Te: 0.223 0.223 0.525
Te: 0.382 0.382 0.077
Te: 0.548 0.548 0.622
Te: 0.631 0.631 0.928
Te: 0.849 0.849 0.790
Te: 0.921 0.921 0.351

Summary:
For the uncorrected energy, the calculation gives -5.227 eV per atom. The uncorrected formation energy comes out at -1424 meV/atom. As for the space group: Cm (8). As for the mass density: 6.57 g cm⁻³.